[1]
## KTaHg2 (PBE)

Data for a relaxed KTaHg2 crystal.

**Total magnetization**: 0.00 μB per formula unit
**V**: 100.3 Å³/cell
**Raw total energy**: -12.0 eV for the cell shown

abc: 4.2365 2.9572 8.5336
angles: 69.69 90.00 90.00
Closest atoms and distances in Å follow each position.
Positions (direct):
Hg 0.0000 0.0583 0.9413  3 Hg 2.96-3.06, 4 Ta 3.00
Hg 0.0000 0.4417 0.5587  3 Hg 2.96-3.06, 4 Ta 3.00
K 0.5000 0.2500 0.2500  2 K 2.96
Ta 0.5000 0.7500 0.7500  2 Ta 2.96, 8 Hg 3.00

[2]
## Cd3Tc (PBE)

Data for a relaxed Cd3Tc crystal.

**Total magnetization**: 0.00 μB per formula unit
**V**: 76.0 Å³/cell
**Raw total energy**: -11.7 eV for the cell shown

abc: 5.2095 5.2095 12.0979
angles: 149.92 149.92 32.22
Closest atoms and distances in Å follow each position.
Positions (direct):
Cd 0.0203 0.0203 0.0139  9 Cd 2.89-3.15, 3 Tc 2.93-3.04
Cd 0.9797 0.9797 0.4861  9 Cd 2.89-3.15, 3 Tc 2.93-3.04
Cd 0.0000 0.0000 0.7500  8 Cd 2.89-3.07, 4 Tc 3.03
Tc 0.0000 0.0000 0.2500  2 Tc 2.89, 10 Cd 2.93-3.04